# LiCo2Te

LiCo2Te after structural relaxation (PBE, Alexandria via LeMat-Bulk).

Computed properties:
DOS(E_F): 4.3 states/eV/f.u.
formation energy (no corrections): 1.0 eV per formula unit
crystal system: monoclinic
M_tot: 0.80 μB/atom
raw total energy: -4.57 eV/atom

Cell: 2.9945 4.3873 4.7294 Å, 90.00 94.31 90.00°
With the nearest neighbours (Å) after each atom.
Positions (direct):
Li: 0.0000 0.0000 0.0000  4 Co 2.57, 2 Te 2.70
Co: 0.3308 0.5000 0.2054  1 Co 2.26
Co: 0.6692 0.5000 0.7946  1 Co 2.26
Te: 0.5000 0.0000 0.5000  4 Co 2.63, 4 Li 2.70-2.89

=====

# TbPm2ErTm2

TbPm2ErTm2 after structural relaxation (PBE, Alexandria via LeMat-Bulk).

Computed properties:
DOS(E_F): 9.9 states/eV/f.u.
crystal system: orthorhombic
M_tot: 0.00 μB/atom
E_form: 0.06 eV per atom
raw total energy: -4.54 eV/atom

Cell: 6.9983 5.6136 9.6896 Å, 90.00 90.00 90.00°
With the nearest neighbours (Å) after each atom.
Positions (direct):
Tb: 0.2500 0.0000 0.1819  3 Pm 3.12-3.24
Tb: 0.7500 0.0000 0.8181  3 Pm 3.12-3.24
Pm: 0.2500 0.0000 0.8479  3 Tb 3.24-3.51, 2 Tm 3.37, 4 Er 3.62
Pm: 0.2500 0.5000 0.3215  2 Tb 3.12, 1 Tm 3.24
Pm: 0.7500 0.0000 0.1521  3 Tb 3.24-3.51, 2 Tm 3.37, 4 Er 3.62
Pm: 0.7500 0.5000 0.6785  2 Tb 3.12, 1 Tm 3.24
Er: 0.0000 0.5000 0.0000  2 Er 3.50, 6 Pm 3.57-3.62, 4 Tb 3.75, 2 Tm 3.77
Er: 0.5000 0.5000 0.0000  2 Er 3.50, 6 Pm 3.57-3.62, 4 Tb 3.75, 2 Tm 3.77
Tm: 0.0000 0.0000 0.5000  6 Tm 3.50-3.64, 2 Tb 3.54, 6 Pm 3.73-3.80
Tm: 0.2500 0.5000 0.6557  5 Pm 3.24-3.51
Tm: 0.5000 0.0000 0.5000  6 Tm 3.50-3.64, 2 Tb 3.54, 6 Pm 3.73-3.80
Tm: 0.7500 0.5000 0.3443  5 Pm 3.24-3.51

=====

# Ti2In2H

Ti2In2H after structural relaxation (PBE, Alexandria via LeMat-Bulk).

Computed properties:
E above lowest polymorph: 25 meV/atom
DOS(E_F): 4.4 states/eV/f.u.
crystal system: orthorhombic
M_tot: 0.08 μB/atom
raw total energy: -4.93 eV/atom

Cell: 5.0107 5.0107 11.6576 Å, 90.00 90.00 144.79°
With the nearest neighbours (Å) after each atom.
Positions (direct):
Ti: 0.0056 0.9944 0.5000  2 H 2.05
Ti: 0.2609 0.7391 0.6088  2 H 2.04
Ti: 0.7391 0.2609 0.1088  2 H 2.04
Ti: 0.9944 0.0056 0.0000  2 H 2.05
In: 0.0207 0.9793 0.2398  5 Ti 2.81-3.09, 5 In 2.93-3.05, 2 H 3.05
In: 0.2880 0.7120 0.3628  4 Ti 2.88-3.14, 5 In 2.93-3.05, 2 H 3.05
In: 0.7120 0.2880 0.8628  4 Ti 2.88-3.14, 5 In 2.93-3.05, 2 H 3.05
In: 0.9793 0.0207 0.7398  5 Ti 2.81-3.09, 5 In 2.93-3.05, 2 H 3.05
H: 0.3647 0.6353 0.0517  4 Ti 2.04-2.05
H: 0.6353 0.3647 0.5517  4 Ti 2.04-2.05

=====

# TaBeCoSe2

TaBeCoSe2 after structural relaxation (PBE, Alexandria via LeMat-Bulk).

Computed properties:
DOS(E_F): 4.6 states/eV/f.u.
formation energy (no corrections): 4.7 eV per formula unit
crystal system: tetragonal
M_tot: 0.00 μB/atom
raw total energy: -4.99 eV/atom

Cell: 4.4748 4.4748 4.7250 Å, 90.00 90.00 90.00°
With the nearest neighbours (Å) after each atom.
Positions (direct):
Ta: 0.0000 0.0000 0.0000  2 Co 2.36
Be: 0.5000 0.5000 0.0000  4 Ta 3.16, 8 Se 3.25
Co: 0.0000 0.0000 0.5000  4 Se 2.24, 2 Ta 2.36
Se: 0.0000 0.5000 0.5000  2 Co 2.24
Se: 0.5000 0.0000 0.5000  2 Co 2.24

=====

# CaAs2Rh3

CaAs2Rh3 after structural relaxation (PBE, Alexandria via LeMat-Bulk).

Computed properties:
DOS(E_F): 2.3 states/eV/f.u.
crystal system: monoclinic
M_tot: 0.00 μB/atom
E_form: -0.74 eV per atom
raw total energy: -6.30 eV/atom

Cell: 8.4228 8.4228 9.9354 Å, 107.06 107.06 27.52°
With the nearest neighbours (Å) after each atom.
Positions (direct):
Ca: 0.0000 0.0000 0.0000  6 As 3.04-3.16, 6 Rh 3.08-3.14
Ca: 0.1600 0.1600 0.6998  6 As 3.07-3.19, 9 Rh 3.18-3.42
Ca: 0.8400 0.8400 0.3002  6 As 3.07-3.19, 9 Rh 3.18-3.42
As: 0.1936 0.1936 0.1294  6 Rh 2.48-2.57
As: 0.3622 0.3622 0.5443  7 Rh 2.39-2.67
As: 0.4592 0.4592 0.2179  5 Rh 2.44-2.73
As: 0.5408 0.5408 0.7821  5 Rh 2.44-2.73
As: 0.6378 0.6378 0.4557  7 Rh 2.39-2.67
As: 0.8064 0.8064 0.8706  6 Rh 2.48-2.57
Rh: 0.0379 0.0379 0.3231  4 As 2.44-2.67
Rh: 0.2169 0.2169 0.3956  4 As 2.39-2.56
Rh: 0.3187 0.3187 0.0383  4 As 2.45-2.57
Rh: 0.3759 0.3759 0.7929  3 As 2.41-2.54
Rh: 0.5000 0.5000 0.5000  4 As 2.42-2.68
Rh: 0.6241 0.6241 0.2071  3 As 2.41-2.54
Rh: 0.6813 0.6813 0.9617  4 As 2.45-2.57
Rh: 0.7831 0.7831 0.6044  4 As 2.39-2.56
Rh: 0.9621 0.9621 0.6769  4 As 2.44-2.67

=====

# ErPaAlTc

ErPaAlTc after structural relaxation (PBE, Alexandria via LeMat-Bulk).

Computed properties:
DOS(E_F): 1.4 states/eV/f.u.
crystal system: cubic
M_tot: 0.00 μB/atom
E_form: -0.12 eV per atom
raw total energy: -7.16 eV/atom

Cell: 6.9836 6.9836 6.9836 Å, 90.00 90.00 90.00°
With the nearest neighbours (Å) after each atom.
Positions (direct):
Er: 0.0000 0.0000 0.0000  4 Al 3.02, 4 Tc 3.02
Er: 0.0000 0.5000 0.5000  4 Al 3.02, 4 Tc 3.02
Er: 0.5000 0.0000 0.5000  4 Al 3.02, 4 Tc 3.02
Er: 0.5000 0.5000 0.0000  4 Al 3.02, 4 Tc 3.02
Pa: 0.0000 0.0000 0.5000  4 Tc 3.02, 4 Al 3.02
Pa: 0.0000 0.5000 0.0000  4 Tc 3.02, 4 Al 3.02
Pa: 0.5000 0.0000 0.0000  4 Tc 3.02, 4 Al 3.02
Pa: 0.5000 0.5000 0.5000  4 Tc 3.02, 4 Al 3.02
Al: 0.2500 0.2500 0.2500  4 Pa 3.02, 4 Er 3.02
Al: 0.2500 0.7500 0.7500  4 Pa 3.02, 4 Er 3.02
Al: 0.7500 0.2500 0.7500  4 Pa 3.02, 4 Er 3.02
Al: 0.7500 0.7500 0.2500  4 Pa 3.02, 4 Er 3.02
Tc: 0.2500 0.2500 0.7500  4 Pa 3.02, 4 Er 3.02
Tc: 0.2500 0.7500 0.2500  4 Pa 3.02, 4 Er 3.02
Tc: 0.7500 0.2500 0.2500  4 Pa 3.02, 4 Er 3.02
Tc: 0.7500 0.7500 0.7500  4 Er 3.02, 4 Pa 3.02

=====

# InGe2O2

InGe2O2 after structural relaxation (PBE, Alexandria via LeMat-Bulk).

Computed properties:
E above lowest polymorph: 223 meV/atom
DOS(E_F): 2.9 states/eV/f.u.
formation energy (no corrections): -1.6 eV per formula unit
crystal system: tetragonal
M_tot: 0.00 μB/atom
raw total energy: -4.69 eV/atom

Cell: 4.4063 4.4063 10.1409 Å, 90.00 90.00 90.00°
With the nearest neighbours (Å) after each atom.
Positions (direct):
In: 0.0000 0.0000 0.0000  2 O 2.80
In: 0.5000 0.5000 0.5000  2 O 2.80
Ge: 0.0000 0.5000 0.2500  4 O 2.22
Ge: 0.0000 0.5000 0.7500  4 O 2.22
Ge: 0.5000 0.0000 0.2500  4 O 2.22
Ge: 0.5000 0.0000 0.7500  4 O 2.22
O: 0.0000 0.0000 0.2765  4 Ge 2.22
O: 0.0000 0.0000 0.7235  4 Ge 2.22
O: 0.5000 0.5000 0.2235  4 Ge 2.22
O: 0.5000 0.5000 0.7765  4 Ge 2.22

=====

# AcSmPd

AcSmPd after structural relaxation (PBE, Alexandria via LeMat-Bulk).

Computed properties:
E above lowest polymorph: 4 meV/atom
DOS(E_F): 3.6 states/eV/f.u.
crystal system: tetragonal
M_tot: 0.00 μB/atom
E_form: -0.45 eV per atom
raw total energy: -5.12 eV/atom

Cell: 3.7484 3.7484 13.0450 Å, 90.00 90.00 90.00°
With the nearest neighbours (Å) after each atom.
Positions (direct):
Ac: 0.0000 0.0000 0.0000  4 Pd 3.33, 1 Sm 3.52
Ac: 0.5000 0.5000 0.5000  4 Pd 3.33, 1 Sm 3.52
Sm: 0.0000 0.0000 0.2698  4 Pd 3.05
Sm: 0.5000 0.5000 0.7698  4 Pd 3.05
Pd: 0.0000 0.0000 0.6541  4 Sm 3.05, 4 Ac 3.33
Pd: 0.5000 0.5000 0.1541  4 Sm 3.05, 4 Ac 3.33